A geometry-optimized Dy10Ho4Zr structure. Source: the Alexandria database, functional GGA-PBE.

Summary:
Formation enthalpy at 0 K (eV per atom): 0.236
N(E_F) (states/eV/cell): 20.1
Volume (A^3/atom): 31.9

a b c (Å): 8.770 8.770 8.770
angles (deg): 101.14 101.14 127.86
Sites, in units of the cell vectors:
1 Dy 0.004 0.212 0.792
2 Dy 0.212 0.004 0.792
3 Dy 0.212 0.421 0.208
4 Dy 0.250 0.750 0.500
5 Dy 0.421 0.212 0.208
6 Dy 0.579 0.788 0.792
7 Dy 0.750 0.250 0.500
8 Dy 0.788 0.579 0.792
9 Dy 0.788 0.996 0.208
10 Dy 0.996 0.788 0.208
11 Ho 0.271 0.271 0.543
12 Ho 0.271 0.729 0.000
13 Ho 0.729 0.271 0.000
14 Ho 0.729 0.729 0.457
15 Zr 0.500 0.500 0.000